(1)
Entry from the Alexandria database: a relaxed CaAg5F8 crystal (PBE).

The total energy comes out at -3.857 eV per atom. The density of states at the Fermi level comes out at 7.39 states/eV/cell. Its symmetry is No. 82. As for the calculated volume: 15.0 Å³/atom.

```
CaAg5F8
1.0
6.274 0.000 -1.760
-3.318 5.081 -2.373
0.363 0.000 6.506
Ca Ag F
1 5 8
Cartesian
0.181 2.540 3.253 Ca
4.670 1.455 -1.451 Ag
3.024 3.896 -2.295 Ag
3.093 3.625 0.756 Ag
3.318 0.000 2.373 Ag
1.761 1.184 -0.530 Ag
-1.257 3.984 4.244 F
-0.176 0.898 4.772 F
4.142 1.476 0.936 F
2.595 1.648 3.670 F
0.993 3.433 -1.104 F
1.504 4.183 2.424 F
0.654 1.097 1.572 F
-1.093 3.605 1.244 F
```

***

(2)
Entry from the Alexandria database: a relaxed Ca3Sb2TePd9 crystal (PBE).

The total energy comes out at -4.713 eV per atom. The density of states at the Fermi level comes out at 6.00 states/eV/cell. Its symmetry is No. 164. As for the calculated volume: 24.8 Å³/atom.

```
Ca3Sb2TePd9
1.0
6.878 0.000 0.000
-3.439 5.956 0.000
0.000 0.000 9.068
Ca Sb Te Pd
3 2 1 9
Cartesian
0.000 3.971 6.739 Ca
0.000 0.000 0.000 Ca
3.439 1.985 2.329 Ca
0.000 3.971 1.705 Sb
3.439 1.985 7.363 Sb
0.000 0.000 4.534 Te
5.490 0.801 6.593 Pd
3.439 4.354 6.593 Pd
1.388 0.801 6.593 Pd
2.051 5.155 2.475 Pd
0.000 1.602 2.475 Pd
-2.051 5.155 2.475 Pd
3.439 0.000 0.000 Pd
-1.719 2.978 0.000 Pd
1.719 2.978 0.000 Pd
```

***

(3)
Entry from the Alexandria database: a relaxed CsNbN2 crystal (PBE).

The total energy comes out at -5.179 eV per atom. The density of states at the Fermi level comes out at 3.89 states/eV/cell. Its symmetry is No. 225. As for the calculated volume: 14.3 Å³/atom.

```
CsNbN2
1.0
2.456 -2.571 -2.458
-1.400 -3.946 -1.072
-1.162 -0.848 -4.076
Cs Nb N
1 1 2
Cartesian
-0.053 -3.683 -3.802 Cs
0.000 0.000 0.000 Nb
-0.027 -1.841 -1.901 N
-0.080 -5.524 -5.704 N
```

***

(4)
Entry from the Alexandria database: a relaxed DyY2Cd crystal (PBE).

The density of states at the Fermi level comes out at 6.16 states/eV/cell. The formation enthalpy at 0 K is -0.0238 eV/atom. The calculation puts the energy relative to the lowest polymorph listed for this composition at 0.53 eV per formula unit. Its symmetry is No. 38. As for the calculated volume: 30.1 Å³/atom.

```
DyY2Cd
1.0
3.532 0.000 0.000
0.000 3.473 0.000
0.000 -1.736 9.825
Dy Y Cd
1 2 1
Cartesian
0.000 0.000 5.228 Dy
1.766 0.000 2.177 Y
0.000 0.000 9.445 Y
1.766 1.736 7.305 Cd
```

***

(5)
Entry from the Alexandria database: a relaxed PrPu2ScAs4 crystal (PBE).

The density of states at the Fermi level comes out at 21.34 states/eV/cell. The formation enthalpy at 0 K is -1.1904 eV/atom. Its symmetry is No. 10. As for the calculated volume: 24.8 Å³/atom.

```
PrPu2ScAs4
1.0
-2.650 -1.285 -2.902
5.140 -4.034 -2.908
-3.516 -3.780 4.884
Pr Pu Sc As
1 2 1 4
Cartesian
1.245 -2.660 -2.905 Pr
-3.083 -2.532 0.991 Pu
0.812 -3.907 0.988 Pu
0.000 0.000 0.000 Sc
-0.978 -2.528 -0.933 As
-0.048 -6.571 0.008 As
-1.408 -3.761 2.952 As
3.033 -4.053 -0.975 As
```

***

(6)
Entry from the Alexandria database: a relaxed LaYSi2Pt2 crystal (PBE).

The total energy comes out at -6.873 eV per atom. The density of states at the Fermi level comes out at 4.61 states/eV/cell. Its symmetry is No. 164. As for the calculated volume: 21.3 Å³/atom.

```
LaYSi2Pt2
1.0
-0.816 3.366 -2.353
-1.792 -3.674 -0.909
-6.476 1.922 4.997
La Y Si Pt
1 1 2 2
Cartesian
0.000 0.000 0.000 La
-3.238 0.961 2.498 Y
-5.933 2.442 1.826 Si
-3.151 -0.828 -0.091 Si
-2.866 1.531 -0.541 Pt
-6.218 0.083 2.276 Pt
```

***

| no. | magnetization (μB/f.u.) |
| --- | --- |
| 1 | 0.70 |
| 2 | 0.00 |
| 3 | 0.00 |
| 4 | 0.66 |
| 5 | 9.91 |
| 6 | 0.00 |